Record 1
{"formula": "Li2Mg2Hg7", "functional": "GGA-PBE", "state": "relaxed", "formation_enthalpy_0k_ev_per_fu": -1.14, "dft_energy_ev_per_cell": -10.3, "magmom_total_mub_per_atom": 0.000, "sg": "No. 65", "vol_a3_per_fu": 269.09, "mass_density_g_cm3": 9.1, "lattice_angstrom": [[-5.852, -1.383, 1.431], [2.011, -7.601, 0.883], [3.752, 1.536, 4.666]], "species": ["Hg", "Li", "Mg", "Hg", "Mg", "Hg", "Hg", "Hg", "Li", "Hg", "Hg"], "fractional_positions": [[0.500, 0.800, 0.500], [0.256, 0.500, 0.256], [0.267, 0.000, 0.733], [0.500, 0.200, 0.500], [0.733, 0.000, 0.267], [0.000, 0.316, 0.500], [0.000, 0.000, 0.000], [0.000, 0.684, 0.500], [0.744, 0.500, 0.744], [0.500, 0.684, 0.000], [0.500, 0.316, 0.000]]}

=====

Record 2
{"formula": "LaAlPI2", "functional": "GGA-PBE", "state": "relaxed", "dft_energy_ev_per_cell": -18.8, "magmom_total_mub_per_atom": 0.000, "sg": "No. 123", "vol_a3_per_fu": 145.59, "e_form_raw_mev_per_atom": -330, "mass_density_g_cm3": 5.1, "lattice_angstrom": [[-5.392, -1.082, 0.824], [-0.657, -0.272, -4.654], [1.118, -5.445, 0.161]], "species": ["I", "P", "Al", "I", "La"], "fractional_positions": [[0.000, 0.000, 0.500], [0.000, 0.500, 0.000], [0.000, 0.000, 0.000], [0.500, 0.000, 0.000], [0.500, 0.500, 0.500]]}

=====

Record 3
{"formula": "Sb2AsS", "functional": "GGA-PBE", "state": "relaxed", "dft_energy_ev_per_cell": -16.1, "magmom_total_mub_per_atom": 0.000, "sg": "No. 225", "vol_a3_per_fu": 87.55, "e_form_raw_mev_per_atom": 230, "mass_density_g_cm3": 6.6, "lattice_angstrom": [[0.000, 3.524, 3.524], [3.524, 0.000, 3.524], [3.524, 3.524, 0.000]], "species": ["S", "As", "Sb", "Sb"], "fractional_positions": [[0.000, 0.000, 0.000], [0.500, 0.500, 0.500], [0.750, 0.750, 0.750], [0.250, 0.250, 0.250]]}